1.
KSnBr2F: relaxed, GGA-PBE.

Computed properties:
SG: No. 123
Crystal system: tetragonal
Formation energy without anion corrections, eV per atom: -1.57
ΔE to the lowest computed polymorph, eV/atom: 0.073

abc: 5.967 5.967 4.582
angles: 90.00 90.00 90.00
Element x y z (fractional)
K 0.000 0.000 0.000
Sn 0.500 0.500 0.500
Br 0.000 0.500 0.500
Br 0.500 0.000 0.500
F 0.500 0.500 0.000

***

2.
Cu5Pd5Au: relaxed, GGA-PBE.

Computed properties:
SG: No. 2
Crystal system: triclinic
Energy relative to the elements, eV/atom: -0.016

abc: 5.173 5.307 6.768
angles: 73.70 74.37 69.83
Element x y z (fractional)
Cu 0.000 0.000 0.000
Cu 0.155 0.217 0.300
Cu 0.297 0.354 0.692
Cu 0.703 0.646 0.308
Cu 0.845 0.783 0.700
Pd 0.170 0.691 0.347
Pd 0.333 0.857 0.649
Pd 0.500 0.000 0.000
Pd 0.667 0.143 0.351
Pd 0.830 0.309 0.653
Au 0.500 0.500 0.000

***

3.
Be2Cu5Au12: relaxed, GGA-PBE.

Computed properties:
SG: No. 12
Crystal system: monoclinic
Energy relative to the elements, eV/atom: -0.005

abc: 7.140 7.140 6.807
angles: 96.03 96.03 63.22
Element x y z (fractional)
Be 0.246 0.754 0.000
Be 0.754 0.246 0.000
Cu 0.000 0.000 0.500
Cu 0.240 0.240 0.584
Cu 0.318 0.318 0.042
Cu 0.682 0.682 0.958
Cu 0.760 0.760 0.416
Au 0.022 0.642 0.784
Au 0.097 0.097 0.862
Au 0.186 0.588 0.402
Au 0.358 0.978 0.216
Au 0.412 0.814 0.598
Au 0.462 0.462 0.785
Au 0.538 0.538 0.215
Au 0.588 0.186 0.402
Au 0.642 0.022 0.784
Au 0.814 0.412 0.598
Au 0.903 0.903 0.138
Au 0.978 0.358 0.216

***

4.
La4P2S: relaxed, GGA-PBE.

Computed properties:
SG: No. 12
Crystal system: monoclinic
Formation energy without anion corrections, eV per atom: -1.46

abc: 8.199 8.199 7.197
angles: 115.86 115.86 29.20
Element x y z (fractional)
La 0.130 0.130 0.290
La 0.368 0.368 0.193
La 0.632 0.632 0.807
La 0.870 0.870 0.710
P 0.244 0.244 0.742
P 0.756 0.756 0.258
S 0.500 0.500 0.000

***

5.
Rb2ZnTe2: relaxed, GGA-PBE.

Computed properties:
SG: No. 139
Crystal system: tetragonal
Formation energy without anion corrections, eV per atom: -0.24

abc: 11.005 11.005 11.005
angles: 155.89 155.89 34.36
Element x y z (fractional)
Rb 0.114 0.114 0.000
Rb 0.886 0.886 0.000
Zn 0.500 0.500 0.000
Te 0.250 0.750 0.500
Te 0.750 0.250 0.500

***

6.
YReAg4: relaxed, GGA-PBE.

Computed properties:
SG: No. 216
Crystal system: cubic
Energy relative to the elements, eV/atom: 0.438

abc: 5.452 5.452 5.452
angles: 60.00 60.00 60.00
Element x y z (fractional)
Y 0.000 0.000 0.000
Re 0.250 0.250 0.250
Ag 0.127 0.624 0.624
Ag 0.624 0.127 0.624
Ag 0.624 0.624 0.127
Ag 0.624 0.624 0.624

***

Number 1: D(E_F) 0.0 states/eV per cell. Number 2: D(E_F) 7.4 states/eV per cell. Number 3: D(E_F) 5.5 states/eV per cell. Number 4: D(E_F) 6.8 states/eV per cell. Number 5: D(E_F) 2.9 states/eV per cell. Number 6: D(E_F) 3.6 states/eV per cell.